Entry 1:
Li2ZnIn after structural relaxation, computed with PBE-GGA.

Unit cell a=3.379 b=3.379 c=6.338 alpha=90.00 beta=90.00 gamma=90.00
Space group P4mm (No. 99)
Unique sites:
Li  0.000  0.000  0.000 (multiplicity 1)
Li  0.500  0.500  0.250 (multiplicity 1)
Zn  0.000  0.000  0.450 (multiplicity 1)
In  0.500  0.500  0.739 (multiplicity 1)

Properties
The calculation puts the total magnetic moment at 0.00 μB/f.u. The formation energy comes out at -0.16 eV/atom.

Entry 2:
Li2BeRe after structural relaxation, computed with PBE-GGA.

Unit cell a=6.493 b=6.493 c=4.591 alpha=90.00 beta=90.00 gamma=90.00
Space group I-42d (No. 122)
Unique sites:
Li  0.216  0.250  0.125 (multiplicity 8)
Be  0.000  0.000  0.000 (multiplicity 4)
Re  0.000  0.000  0.500 (multiplicity 4)

Properties
The calculation puts the total magnetic moment at 0.00 μB/f.u. The formation energy comes out at 0.81 eV/atom.

Please write out number 1 again, unchanged.
Li2ZnIn after structural relaxation, computed with PBE-GGA.

Unit cell a=3.379 b=3.379 c=6.338 alpha=90.00 beta=90.00 gamma=90.00
Space group P4mm (No. 99)
Unique sites:
Li  0.000  0.000  0.000 (multiplicity 1)
Li  0.500  0.500  0.250 (multiplicity 1)
Zn  0.000  0.000  0.450 (multiplicity 1)
In  0.500  0.500  0.739 (multiplicity 1)

Properties
The calculation puts the total magnetic moment at 0.00 μB/f.u. The formation energy comes out at -0.16 eV/atom.